The following is a PBE with a Hubbard U calculation of FeReBO after structural relaxation, from Alexandria.

Cell and atoms, written as POSCAR:
```
FeReBO
1.0
3.1260 0.0000 0.0000
0.0000 2.7851 0.0000
0.0000 0.0000 10.9124
Re B Fe O
2 2 2 2
Direct
0.0000 0.0000 0.1641
0.0000 0.5000 0.6641
0.5000 0.0000 0.5968
0.5000 0.5000 0.0968
0.0000 0.0000 0.4447
0.0000 0.5000 0.9447
0.0000 0.0000 0.8090
0.0000 0.5000 0.3090
```

Summary:
DFT total energy: -7.60 eV per atom